Record 1
# Ca3Se2Br

A geometry-optimized Ca3Se2Br structure (PBE, Alexandria via LeMat-Bulk).

Unit cell a=4.282 b=8.193 c=11.701 alpha=90.00 beta=90.00 gamma=105.15
Last column: magnetic moment on the atom in μB.
Element x y z (fractional)
Ca 0.632 0.263 0.010  0.05
Ca 0.989 0.977 0.750  0.00
Ca 0.632 0.263 0.490  0.05
Ca 0.011 0.023 0.250  0.00
Ca 0.368 0.737 0.990  0.05
Ca 0.368 0.737 0.510  0.05
Se 0.000 0.000 0.000  0.01
Se 0.000 0.000 0.500  0.01
Se 0.633 0.266 0.250  0.01
Se 0.367 0.734 0.750  0.01
Br 0.373 0.746 0.250  0.01
Br 0.627 0.254 0.750  0.01

Record 2
# CaSeBr

A geometry-optimized CaSeBr structure (PBE, Alexandria via LeMat-Bulk).

Unit cell a=6.271 b=6.271 c=6.271 alpha=143.56 beta=143.57 gamma=52.47
Last column: magnetic moment on the atom in μB.
Element x y z (fractional)
Ca 0.309 0.309 0.000  0.01
Se 0.715 0.715 0.000  0.32
Br 0.977 0.977 0.000  0.17

no.,E_form (uncorrected) (meV/atom)
1,-1634
2,-1210